# 1
Density functional theory data (GGA-PBEsol) for crystalline Ti2TcOs at its relaxed geometry.

Computed properties:
For the total energy, the calculation gives -0.3914 hartree per atom. The calculation puts the energy of formation from the pure elements at -0.62 eV/atom. As for the space-group type: Fm-3m.

abc: 4.3314 4.3314 4.3314
angles: 60.00 60.00 60.00
Atoms (fractional coordinates):
Ti 0.2500 0.2500 0.2500
Ti 0.7500 0.7500 0.7500
Tc 0.0000 0.0000 0.0000
Os 0.5000 0.5000 0.5000

---

# 2
Density functional theory data (GGA-PBEsol) for crystalline LiMgP2 at its relaxed geometry.

Computed properties:
For the total energy, the calculation gives -0.1453 hartree per atom. The calculation puts the energy of formation from the pure elements at -0.14 eV/atom. As for the space-group type: Pmm2.

abc: 2.6620 4.4911 5.3722
angles: 90.00 90.00 90.00
Atoms (fractional coordinates):
Li 0.0000 0.0000 0.0000
Mg 0.5000 0.5000 0.4478
P 0.0000 0.0000 0.5006
P 0.5000 0.5000 0.9546

---

# 3
Density functional theory data (GGA-PBEsol) for crystalline Tl2HgAs at its relaxed geometry.

Computed properties:
For the total energy, the calculation gives -0.0966 hartree per atom. The calculation puts the energy of formation from the pure elements at 0.10 eV/atom. As for the space-group type: Cm.

abc: 6.4257 6.4257 5.3611
angles: 114.59 114.59 30.24
Atoms (fractional coordinates):
Tl 0.0000 0.0000 0.0000
Tl 0.2117 0.2117 0.7120
Hg 0.7648 0.7648 0.2649
As 0.4803 0.4803 0.4798

---

# 4
Density functional theory data (GGA-PBEsol) for crystalline Sc3Mn at its relaxed geometry.

Computed properties:
For the total energy, the calculation gives -0.2699 hartree per atom. The calculation puts the energy of formation from the pure elements at 0.05 eV/atom. As for the space-group type: Pnma.

abc: 6.7156 8.2846 5.5971
angles: 90.00 90.00 90.00
Atoms (fractional coordinates):
Sc 0.0451 0.2500 0.1259
Sc 0.1776 0.0633 0.6501
Sc 0.1776 0.4367 0.6501
Sc 0.3224 0.5633 0.1501
Sc 0.3224 0.9367 0.1501
Sc 0.4549 0.7500 0.6259
Sc 0.5451 0.2500 0.3741
Sc 0.6776 0.0633 0.8499
Sc 0.6776 0.4367 0.8499
Sc 0.8224 0.5633 0.3499
Sc 0.8224 0.9367 0.3499
Sc 0.9549 0.7500 0.8741
Mn 0.1151 0.7500 0.4513
Mn 0.3849 0.2500 0.9513
Mn 0.6151 0.7500 0.0487
Mn 0.8849 0.2500 0.5487

---

Q: Among the records above, which one has the lowest energy of formation from the pure elements?
A: Ti2TcOs

---

Q: What is the total energy in the third record?
A: -0.0966 hartree per atom